Density functional theory data (PBE) for a relaxed structure of Pr3Si2Ni6.

## Properties
- Final energy: -130.89 eV/cell
- Formation energy from raw total energies: -0.507 eV per atom
- Crystal system: cubic
- Volume: 363.7 Å³ per cell

Cell: 7.7882 7.7882 7.7882 Å, 109.47 109.47 109.47°
Closest atoms and distances in Å follow each position.
Atoms (fractional coordinates):
Pr (0.0000, 0.2863, 0.2863)  8 Ni 2.90-2.98, 4 Si 3.20
Pr (0.0000, 0.7137, 0.7137)  8 Ni 2.90-2.98, 4 Si 3.20
Pr (0.2863, 0.0000, 0.2863)  8 Ni 2.90-2.98, 4 Si 3.20
Pr (0.2863, 0.2863, 0.0000)  8 Ni 2.90-2.98, 4 Si 3.20
Pr (0.7137, 0.0000, 0.7137)  8 Ni 2.90-2.98, 4 Si 3.20
Pr (0.7137, 0.7137, 0.0000)  8 Ni 2.90-2.98, 4 Si 3.20
Si (0.0000, 0.0000, 0.5000)  6 Ni 2.46
Si (0.0000, 0.5000, 0.0000)  6 Ni 2.46
Si (0.5000, 0.0000, 0.0000)  6 Ni 2.46
Si (0.5000, 0.5000, 0.5000)  6 Ni 2.46
Ni (0.0000, 0.3290, 0.6710)  2 Si 2.46, 4 Ni 2.60
Ni (0.0000, 0.6710, 0.3290)  2 Si 2.46, 4 Ni 2.60
Ni (0.3290, 0.0000, 0.6710)  2 Si 2.46, 4 Ni 2.60
Ni (0.3290, 0.3290, 0.6580)  2 Si 2.46, 4 Ni 2.60
Ni (0.3290, 0.6580, 0.3290)  2 Si 2.46, 4 Ni 2.60
Ni (0.3290, 0.6710, 0.0000)  2 Si 2.46, 4 Ni 2.60
Ni (0.3420, 0.6710, 0.6710)  2 Si 2.46, 4 Ni 2.60
Ni (0.6580, 0.3290, 0.3290)  2 Si 2.46, 4 Ni 2.60
Ni (0.6710, 0.0000, 0.3290)  2 Si 2.46, 4 Ni 2.60
Ni (0.6710, 0.3290, 0.0000)  2 Si 2.46, 4 Ni 2.60
Ni (0.6710, 0.3420, 0.6710)  2 Si 2.46, 4 Ni 2.60
Ni (0.6710, 0.6710, 0.3420)  2 Si 2.46, 4 Ni 2.60

=====

Density functional theory data (PBE) for a relaxed structure of Pr3Si2Ni7.

## Properties
- Final energy: -71.27 eV/cell
- Formation energy from raw total energies: -0.468 eV per atom
- Crystal system: trigonal
- Volume: 189.1 Å³ per cell

Cell: 8.4068 8.4068 8.4068 Å, 36.60 36.60 36.60°
Closest atoms and distances in Å follow each position.
Atoms (fractional coordinates):
Pr (0.0000, 0.0000, 0.0000)  6 Si 3.05, 12 Ni 3.19, 2 Pr 3.36
Pr (0.1429, 0.1429, 0.1429)  12 Ni 3.07-3.11, 4 Pr 3.25-3.36
Pr (0.8571, 0.8571, 0.8571)  12 Ni 3.07-3.11, 4 Pr 3.25-3.36
Si (0.3306, 0.3306, 0.3306)  6 Ni 2.32-2.37
Si (0.6694, 0.6694, 0.6694)  6 Ni 2.32-2.37
Ni (0.0843, 0.5719, 0.5719)  2 Si 2.32-2.37, 3 Ni 2.57-2.60
Ni (0.4281, 0.4281, 0.9157)  2 Si 2.32-2.37, 3 Ni 2.57-2.60
Ni (0.4281, 0.9157, 0.4281)  2 Si 2.32-2.37, 3 Ni 2.57-2.60
Ni (0.5000, 0.5000, 0.5000)  6 Ni 2.60
Ni (0.5719, 0.0843, 0.5719)  2 Si 2.32-2.37, 3 Ni 2.57-2.60
Ni (0.5719, 0.5719, 0.0843)  2 Si 2.32-2.37, 3 Ni 2.57-2.60
Ni (0.9157, 0.4281, 0.4281)  2 Si 2.32-2.37, 3 Ni 2.57-2.60

=====

Density functional theory data (PBE) for a relaxed structure of PrSi12Ni4.

## Properties
- Final energy: -96.96 eV/cell
- Formation energy from raw total energies: -0.234 eV per atom
- Crystal system: cubic
- Volume: 264.1 Å³ per cell

Cell: 7.0001 7.0001 7.0001 Å, 109.47 109.47 109.47°
Closest atoms and distances in Å follow each position.
Atoms (fractional coordinates):
Pr (0.0000, 0.0000, 0.0000)  12 Si 3.14, 8 Ni 3.50
Si (0.1629, 0.5159, 0.3530)  2 Ni 2.30, 1 Si 2.38
Si (0.1629, 0.8099, 0.6470)  2 Ni 2.30, 1 Si 2.38
Si (0.1901, 0.3530, 0.8371)  2 Ni 2.30, 1 Si 2.38
Si (0.3530, 0.1629, 0.5159)  2 Ni 2.30, 1 Si 2.38
Si (0.3530, 0.8371, 0.1901)  2 Ni 2.30, 1 Si 2.38
Si (0.4841, 0.6470, 0.8371)  2 Ni 2.30, 1 Si 2.38
Si (0.5159, 0.3530, 0.1629)  2 Ni 2.30, 1 Si 2.38
Si (0.6470, 0.1629, 0.8099)  2 Ni 2.30, 1 Si 2.38
Si (0.6470, 0.8371, 0.4841)  2 Ni 2.30, 1 Si 2.38
Si (0.8099, 0.6470, 0.1629)  2 Ni 2.30, 1 Si 2.38
Si (0.8371, 0.1901, 0.3530)  2 Ni 2.30, 1 Si 2.38
Si (0.8371, 0.4841, 0.6470)  2 Ni 2.30, 1 Si 2.38
Ni (0.0000, 0.0000, 0.5000)  6 Si 2.30
Ni (0.0000, 0.5000, 0.0000)  6 Si 2.30
Ni (0.5000, 0.0000, 0.0000)  6 Si 2.30
Ni (0.5000, 0.5000, 0.5000)  6 Si 2.30

=====

Density functional theory data (PBE) for a relaxed structure of PrSi3Ni3.

## Properties
- Final energy: -82.01 eV/cell
- Formation energy from raw total energies: -0.373 eV per atom
- ΔE to the lowest computed polymorph: 19 meV per atom
- Crystal system: cubic
- Volume: 243.5 Å³ per cell

Cell: 6.2449 6.2449 6.2449 Å, 90.00 90.00 90.00°
Closest atoms and distances in Å follow each position.
Atoms (fractional coordinates):
Pr (0.0000, 0.0000, 0.0000)  12 Ni 3.49, 12 Si 3.49
Pr (0.5000, 0.5000, 0.5000)  12 Ni 3.49, 12 Si 3.49
Si (0.0000, 0.2500, 0.5000)  4 Ni 2.21
Si (0.0000, 0.7500, 0.5000)  4 Ni 2.21
Si (0.2500, 0.5000, 0.0000)  4 Ni 2.21
Si (0.5000, 0.0000, 0.2500)  4 Ni 2.21
Si (0.5000, 0.0000, 0.7500)  4 Ni 2.21
Si (0.7500, 0.5000, 0.0000)  4 Ni 2.21
Ni (0.0000, 0.5000, 0.2500)  4 Si 2.21
Ni (0.0000, 0.5000, 0.7500)  4 Si 2.21
Ni (0.2500, 0.0000, 0.5000)  4 Si 2.21
Ni (0.5000, 0.2500, 0.0000)  4 Si 2.21
Ni (0.5000, 0.7500, 0.0000)  4 Si 2.21
Ni (0.7500, 0.0000, 0.5000)  4 Si 2.21